Record 1
Here is TaAsO2F at its PBEsol-relaxed geometry from Alexandria. Energies are from SCAN.

Summary:
Crystal system ... tetragonal
Uncorrected formation energy ... -10 kJ per mole of atoms
Space-group type ... P4/mmm (123)

Cell: 3.9334 4.1055 4.1055 Å, 90.00 90.00 90.00°
Each line ends with the local moment (μB).
Atoms (fractional coordinates):
1 Ta 0.5000 0.5000 0.5000  2.14
2 O 0.0000 0.0000 0.5000  -0.01
3 O 0.0000 0.5000 0.0000  -0.01
4 F 0.5000 0.0000 0.0000  0.07
5 As 0.0000 0.0000 0.0000  0.00

=====

Record 2
Here is KMg4Br at its PBEsol-relaxed geometry from Alexandria. Energies are from SCAN.

Summary:
Crystal system ... cubic
Uncorrected formation energy ... 4 kJ per mole of atoms
Space-group type ... F-43m (216)

Cell: 6.3436 6.3436 6.3436 Å, 60.00 60.00 60.00°
Atoms (fractional coordinates):
1 Br 0.7500 0.7500 0.7500
2 Mg 0.3747 0.3747 0.8759
3 Mg 0.8759 0.3747 0.3747
4 Mg 0.3747 0.3747 0.3747
5 Mg 0.3747 0.8759 0.3747
6 K 0.0000 0.0000 0.0000

=====

Record 3
Here is Ga2PtRh2 at its PBEsol-relaxed geometry from Alexandria. Energies are from SCAN.

Summary:
Crystal system ... tetragonal
ΔE_f ... -0.486 eV/atom
Space-group type ... P4/mbm (127)

Cell: 2.8654 7.0065 7.0065 Å, 90.00 90.00 90.00°
Atoms (fractional coordinates):
1 Pt 0.0000 0.5000 0.5000
2 Pt 0.0000 0.0000 0.0000
3 Rh 0.5000 0.1504 0.6504
4 Rh 0.5000 0.3496 0.1504
5 Rh 0.5000 0.6504 0.8496
6 Rh 0.5000 0.8496 0.3496
7 Ga 0.0000 0.6476 0.1476
8 Ga 0.0000 0.1476 0.3524
9 Ga 0.0000 0.8524 0.6476
10 Ga 0.0000 0.3524 0.8524

=====

Record 4
Here is PRuRh at its PBEsol-relaxed geometry from Alexandria. Energies are from SCAN.

Summary:
Crystal system ... cubic
ΔE_f ... -0.608 eV/atom
Space-group type ... F-43m (216)

Cell: 3.8753 3.8753 3.8753 Å, 60.00 60.00 60.00°
Each line ends with the local moment (μB).
Atoms (fractional coordinates):
1 Ru 0.5000 0.5000 0.5000  0.06
2 P 0.2500 0.2500 0.2500  0.00
3 Rh 0.0000 0.0000 0.0000  0.01

=====

Here are the calculated size of the total moment numbers, same order: 3.0; 0.0; 0.0; 0.1 (μB per cell).